DFT (GGA+U) results for Li4Mn5O10 after structural relaxation.

Cell: 6.6026 7.9525 7.9673 Å, 95.74 114.33 91.16°
Space group P-1 (No. 2)
Asymmetric unit:
Li 0.0946 0.0955 0.4207 x2
Li 0.2394 0.7499 0.4844 x2
Li 0.3253 0.2965 0.2418 x2
Li 0.3914 0.4069 0.5886 x2
Mn 0.0000 0.0000 0.0000 x1
Mn 0.0426 0.5494 0.6889 x2
Mn 0.1476 0.6514 0.1078 x2
Mn 0.3465 0.8526 0.8812 x2
Mn 0.4605 0.9512 0.3088 x2
Mn 0.5000 0.5000 0.0000 x1
O 0.0384 0.7755 0.8311 x2
O 0.0558 0.3500 0.5349 x2
O 0.1482 0.4499 0.9331 x2
O 0.1492 0.8732 0.2392 x2
O 0.2493 0.9628 0.6554 x2
O 0.2540 0.5139 0.3449 x2
O 0.3526 0.0719 0.0871 x2
O 0.3643 0.6062 0.7581 x2
O 0.4317 0.1537 0.4661 x2
O 0.4437 0.7384 0.1338 x2

Summary:
N(E_F) = 0.007 states/eV per atom
Volume = 378 Å³/cell
Electronic total energy = -6.683 eV/atom